*P*
Compound: LiNdCdSe3
Source: the Open Quantum Materials Database
Functional: GGA-PBE
Structure: optimized geometry

Unit cell a=7.8445 b=4.2132 c=10.6388 alpha=90.00 beta=102.01 gamma=90.00
Last column: nearest neighbours and their distance in Å.
Fractional positions:
1 Se 0.7535 0.7500 0.5560  3 Cd 2.69-2.75
2 Nd 0.8298 0.7500 0.8496  6 Se 2.93-3.06
3 Nd 0.1702 0.2500 0.1504  6 Se 2.93-3.06
4 Cd 0.5668 0.2500 0.6098  4 Se 2.66-2.75
5 Se 0.5596 0.2500 0.8588  1 Cd 2.66, 3 Li 2.71-2.84
6 Cd 0.4332 0.7500 0.3902  4 Se 2.66-2.75
7 Se 0.2465 0.2500 0.4440  3 Cd 2.69-2.75
8 Li 0.6736 0.2500 0.1174  5 Se 2.71-2.84
9 Se 0.9071 0.7500 0.1359  2 Li 2.77, 3 Nd 2.93-2.98
10 Se 0.4404 0.7500 0.1412  1 Cd 2.66, 3 Li 2.71-2.84
11 Se 0.0929 0.2500 0.8641  2 Li 2.77, 3 Nd 2.93-2.98
12 Li 0.3264 0.7500 0.8826  5 Se 2.71-2.84

## Properties
V in Å³/f.u.: 172.0
Space group: No. 11

***

*Q*
Compound: LiNdCdSe3
Source: the Open Quantum Materials Database
Functional: GGA-PBE
Structure: optimized geometry

Unit cell a=8.5577 b=4.1874 c=17.0635 alpha=90.00 beta=90.00 gamma=90.00
Last column: nearest neighbours and their distance in Å.
Fractional positions:
1 Se 0.1220 0.2500 0.5740  3 Nd 2.94-3.00, 2 Li 2.95
2 Se 0.2739 0.2500 0.7867  2 Cd 2.56-2.70, 2 Li 2.76
3 Se 0.6220 0.2500 0.9260  3 Nd 2.94-3.00, 2 Li 2.95
4 Li 0.1791 0.7500 0.6927  4 Se 2.76-2.95
5 Nd 0.7210 0.7500 0.0364  7 Se 2.94-3.19
6 Cd 0.4694 0.2500 0.6727  4 Se 2.56-2.70
7 Cd 0.9694 0.2500 0.8273  4 Se 2.56-2.70
8 Se 0.2261 0.7500 0.2867  2 Cd 2.56-2.70, 2 Li 2.76
9 Nd 0.7790 0.2500 0.5364  7 Se 2.94-3.19
10 Cd 0.5306 0.7500 0.3273  4 Se 2.56-2.70
11 Cd 0.0306 0.7500 0.1727  4 Se 2.56-2.70
12 Li 0.8209 0.2500 0.3073  4 Se 2.76-2.95
13 Se 0.5099 0.7500 0.5769  2 Cd 2.68
14 Li 0.3209 0.2500 0.1927  4 Se 2.76-2.95
15 Nd 0.2790 0.2500 0.9636  7 Se 2.94-3.19
16 Se 0.7739 0.2500 0.7133  2 Cd 2.56-2.70, 2 Li 2.76
17 Se 0.3780 0.7500 0.0740  3 Nd 2.94-3.00, 2 Li 2.95
18 Se 0.8780 0.7500 0.4260  3 Nd 2.94-3.00, 2 Li 2.95
19 Nd 0.2210 0.7500 0.4636  7 Se 2.94-3.19
20 Li 0.6791 0.7500 0.8073  4 Se 2.76-2.95
21 Se 0.9901 0.2500 0.0769  2 Cd 2.68
22 Se 0.4901 0.2500 0.4231  2 Cd 2.68
23 Se 0.0099 0.7500 0.9231  2 Cd 2.68
24 Se 0.7261 0.7500 0.2133  2 Cd 2.56-2.70, 2 Li 2.76

## Properties
V in Å³/f.u.: 152.9
Space group: No. 62

***

*R*
Compound: LiNdCdSe3
Source: the Open Quantum Materials Database
Functional: GGA-PBE
Structure: optimized geometry

Unit cell a=6.9203 b=6.9203 c=11.4042 alpha=90.00 beta=90.00 gamma=35.12
Last column: nearest neighbours and their distance in Å.
Fractional positions:
1 Cd 0.4773 0.4773 0.2500  4 Se 2.62-2.67
2 Cd 0.5227 0.5227 0.7500  4 Se 2.62-2.67
3 Se 0.8963 0.8963 0.7500  2 Cd 2.67
4 Se 0.3533 0.3533 0.0711  1 Cd 2.62
5 Li 0.2310 0.2310 0.7500  6 Se 3.02-3.12
6 Li 0.7690 0.7690 0.2500  6 Se 3.02-3.12
7 Se 0.6467 0.6467 0.9289  1 Cd 2.62
8 Nd 0.0000 0.0000 0.5000  6 Se 2.96-3.16
9 Nd 0.0000 0.0000 0.0000  6 Se 2.96-3.16
10 Se 0.6467 0.6467 0.5711  1 Cd 2.62
11 Se 0.1037 0.1037 0.2500  2 Cd 2.67
12 Se 0.3533 0.3533 0.4289  1 Cd 2.62

## Properties
V in Å³/f.u.: 157.1
Space group: No. 63

***

Short version: *P* is the most stable of them.

***

*P*
Compound: LiCdNiSb
Source: the Open Quantum Materials Database
Functional: GGA-PBE
Structure: optimized geometry

Unit cell a=4.6296 b=4.6296 c=4.6296 alpha=60.00 beta=60.00 gamma=60.00
Last column: nearest neighbours and their distance in Å.
Fractional positions:
1 Ni 0.5000 0.5000 0.5000  4 Li 2.84, 4 Sb 2.84
2 Li 0.7500 0.7500 0.7500  4 Cd 2.84, 4 Ni 2.84
3 Sb 0.2500 0.2500 0.2500  4 Cd 2.84, 4 Ni 2.84
4 Cd 0.0000 0.0000 0.0000  4 Li 2.84, 4 Sb 2.84

## Properties
V in Å³/f.u.: 70.2
Space group: No. 216

***

*Q*
Compound: LiCdNiSb
Source: the Open Quantum Materials Database
Functional: GGA-PBE
Structure: optimized geometry

Unit cell a=4.5551 b=4.5551 c=4.5551 alpha=60.00 beta=60.00 gamma=60.00
Last column: nearest neighbours and their distance in Å.
Fractional positions:
1 Li 0.7500 0.7500 0.7500  4 Cd 2.79, 4 Sb 2.79
2 Cd 0.5000 0.5000 0.5000  4 Ni 2.79, 4 Li 2.79
3 Ni 0.2500 0.2500 0.2500  4 Cd 2.79, 4 Sb 2.79
4 Sb 0.0000 0.0000 0.0000  4 Li 2.79, 4 Ni 2.79

## Properties
V in Å³/f.u.: 66.8
Space group: No. 216

***

Short version: *Q* is the most stable of them.

***

*P*
Compound: LiTaCdNi
Source: the Open Quantum Materials Database
Functional: GGA-PBE
Structure: optimized geometry

Unit cell a=4.4389 b=4.4389 c=4.4389 alpha=60.00 beta=60.00 gamma=60.00
Last column: nearest neighbours and their distance in Å.
Fractional positions:
1 Li 0.7500 0.7500 0.7500  4 Ni 2.72, 4 Cd 2.72
2 Cd 0.0000 0.0000 0.0000  4 Li 2.72, 4 Ta 2.72
3 Ta 0.2500 0.2500 0.2500  4 Cd 2.72, 4 Ni 2.72
4 Ni 0.5000 0.5000 0.5000  4 Li 2.72, 4 Ta 2.72

## Properties
V in Å³/f.u.: 61.8
Space group: No. 216

***

*Q*
Compound: LiTaCdNi
Source: the Open Quantum Materials Database
Functional: GGA-PBE
Structure: optimized geometry

Unit cell a=4.4160 b=4.4160 c=4.4160 alpha=60.00 beta=60.00 gamma=60.00
Last column: nearest neighbours and their distance in Å.
Fractional positions:
1 Li 0.7500 0.7500 0.7500  4 Ni 2.70, 4 Ta 2.70
2 Ni 0.5000 0.5000 0.5000  4 Li 2.70, 4 Cd 2.70
3 Cd 0.2500 0.2500 0.2500  4 Ni 2.70, 4 Ta 2.70
4 Ta 0.0000 0.0000 0.0000  4 Cd 2.70, 4 Li 2.70

## Properties
V in Å³/f.u.: 60.9
Space group: No. 216

***

*R*
Compound: LiTaCdNi
Source: the Open Quantum Materials Database
Functional: GGA-PBE
Structure: optimized geometry

Unit cell a=4.3463 b=4.3463 c=4.3463 alpha=60.00 beta=60.00 gamma=60.00
Last column: nearest neighbours and their distance in Å.
Fractional positions:
1 Ta 0.0000 0.0000 0.0000  4 Ni 2.66, 4 Li 2.66
2 Li 0.7500 0.7500 0.7500  4 Cd 2.66, 4 Ta 2.66
3 Ni 0.2500 0.2500 0.2500  4 Cd 2.66, 4 Ta 2.66
4 Cd 0.5000 0.5000 0.5000  4 Ni 2.66, 4 Li 2.66

## Properties
V in Å³/f.u.: 58.1
Space group: No. 216

***

Short version: *R* is the most stable of them.

***

*P*
Compound: LiCdPO
Source: the Open Quantum Materials Database
Functional: GGA-PBE
Structure: optimized geometry

Unit cell a=4.7383 b=4.7383 c=5.1450 alpha=90.00 beta=90.00 gamma=90.00
Last column: nearest neighbours and their distance in Å.
Fractional positions:
1 O 0.0000 0.5000 0.0000  4 Cd 2.37, 2 Li 2.57
2 O 0.5000 0.0000 0.0000  4 Cd 2.37, 2 Li 2.57
3 P 0.0000 0.0000 0.5069  4 Li 2.37, 2 Cd 2.57
4 Cd 0.0000 0.0000 0.0070  4 O 2.37, 2 P 2.57
5 P 0.5000 0.5000 0.4931  4 Li 2.37, 2 Cd 2.57
6 Li 0.0000 0.5000 0.5000  4 P 2.37, 2 O 2.57
7 Li 0.5000 0.0000 0.5000  4 P 2.37, 2 O 2.57
8 Cd 0.5000 0.5000 0.9930  4 O 2.37, 2 P 2.57

## Properties
V in Å³/f.u.: 57.8
Space group: No. 129

***

*Q*
Compound: LiCdPO
Source: the Open Quantum Materials Database
Functional: GGA-PBE
Structure: optimized geometry

Unit cell a=3.0107 b=6.9915 c=5.5098 alpha=90.00 beta=90.00 gamma=90.00
Last column: nearest neighbours and their distance in Å.
Fractional positions:
1 P 0.0000 0.4881 0.4340  1 Cd 2.53, 2 Li 2.62, 2 P 2.76
2 Cd 0.0000 0.8434 0.5233  4 O 2.30-2.34, 1 P 2.53
3 O 0.5000 0.9962 0.7711  2 Li 1.91
4 Li 0.5000 0.1893 0.5256  2 O 1.91
5 O 0.5000 0.0038 0.2711  2 Li 1.91
6 P 0.0000 0.5119 0.9340  1 Cd 2.53, 2 Li 2.62, 2 P 2.76
7 Cd 0.0000 0.1566 0.0233  4 O 2.30-2.34, 1 P 2.53
8 Li 0.5000 0.8107 0.0256  2 O 1.91

## Properties
V in Å³/f.u.: 58.0
Space group: No. 26

***

*R*
Compound: LiCdPO
Source: the Open Quantum Materials Database
Functional: GGA-PBE
Structure: optimized geometry

Unit cell a=4.0368 b=4.0368 c=7.1334 alpha=90.00 beta=90.00 gamma=90.00
Last column: nearest neighbours and their distance in Å.
Fractional positions:
1 Li 0.7500 0.7500 0.9160  4 O 2.11
2 O 0.7500 0.2500 0.0000  4 Li 2.11
3 P 0.2500 0.2500 0.7508  1 Li 2.38
4 Cd 0.2500 0.7500 0.5000  4 P 2.70, 4 Cd 2.85
5 Li 0.2500 0.2500 0.0840  4 O 2.11
6 Cd 0.7500 0.2500 0.5000  4 P 2.70, 4 Cd 2.85
7 P 0.7500 0.7500 0.2492  1 Li 2.38
8 O 0.2500 0.7500 0.0000  4 Li 2.11

## Properties
V in Å³/f.u.: 58.1
Space group: No. 129

***

Short version: *Q* is the most stable of them.

***

*P*
Compound: LiCdPO
Source: the Open Quantum Materials Database
Functional: GGA-PBE
Structure: optimized geometry

Unit cell a=3.6059 b=7.0480 c=4.6083 alpha=90.00 beta=90.00 gamma=90.00
Last column: nearest neighbours and their distance in Å.
Fractional positions:
1 O 0.0000 0.8723 0.4386  2 Li 1.86
2 P 0.5000 0.5493 0.9323  2 P 2.41, 1 Li 2.50, 2 Cd 2.61
3 Cd 0.0000 0.8170 0.9413  3 O 2.19-2.35
4 P 0.5000 0.4507 0.4323  2 P 2.41, 1 Li 2.50, 2 Cd 2.61
5 Cd 0.0000 0.1830 0.4413  3 O 2.19-2.35
6 Li 0.5000 0.8052 0.4419  2 O 1.86
7 O 0.0000 0.1277 0.9386  2 Li 1.86
8 Li 0.5000 0.1948 0.9419  2 O 1.86

## Properties
V in Å³/f.u.: 58.6
Space group: No. 26

***

*Q*
Compound: LiCdPO
Source: the Open Quantum Materials Database
Functional: GGA-PBE
Structure: optimized geometry

Unit cell a=4.0190 b=4.0190 c=7.2448 alpha=90.00 beta=90.00 gamma=90.00
Last column: nearest neighbours and their distance in Å.
Fractional positions:
1 P 0.0000 0.5000 0.7507  1 Li 2.38
2 Cd 0.5000 0.5000 0.5000  4 P 2.71, 4 Cd 2.84
3 O 0.5000 0.5000 0.0000  4 Li 2.09
4 Cd 0.0000 0.0000 0.5000  4 P 2.71, 4 Cd 2.84
5 P 0.5000 0.0000 0.2493  1 Li 2.38
6 Li 0.0000 0.5000 0.0796  4 O 2.09
7 O 0.0000 0.0000 0.0000  4 Li 2.09
8 Li 0.5000 0.0000 0.9204  4 O 2.09

## Properties
V in Å³/f.u.: 58.5
Space group: No. 129

***

Short version: *P* is the most stable of them.

***

*P*
Compound: LiCdPS2O2
Source: the Open Quantum Materials Database
Functional: GGA-PBE
Structure: optimized geometry

Unit cell a=5.6122 b=5.6122 c=5.4003 alpha=116.49 beta=116.49 gamma=97.69
Last column: nearest neighbours and their distance in Å.
Fractional positions:
1 Li 0.5563 0.4437 0.5000  2 O 1.96
2 Cd 0.0105 0.9895 0.5000  2 O 2.28, 2 S 2.52
3 S 0.5996 0.8936 0.9623  1 P 2.05
4 O 0.4753 0.2233 0.6722  1 P 1.55
5 P 0.7252 0.2748 0.0000  2 O 1.55
6 S 0.1064 0.4004 0.0377  1 P 2.05
7 O 0.7767 0.5247 0.3278  1 P 1.55

## Properties
V in Å³/f.u.: 123.9
Space group: No. 5

***

*Q*
Compound: LiCdPS2O2
Source: the Open Quantum Materials Database
Functional: GGA-PBE
Structure: optimized geometry

Unit cell a=5.3827 b=5.4449 c=5.7477 alpha=90.53 beta=116.33 gamma=119.36
Last column: nearest neighbours and their distance in Å.
Fractional positions:
1 O 0.7490 0.5559 0.7031  1 P 1.55
2 S 0.3012 0.9220 0.4330  1 P 2.05
3 Cd 0.0174 0.0101 0.9801  2 O 2.26-2.31, 1 S 2.51
4 Li 0.0028 0.5007 0.5692  2 O 1.94-1.97
5 P 0.4942 0.2772 0.7342  2 O 1.55
6 S 0.7047 0.1731 0.0817  1 P 2.06
7 O 0.2307 0.3110 0.7487  1 P 1.55

## Properties
V in Å³/f.u.: 125.9
Space group: No. 1

***

Short version: *P* is the most stable of them.